GGA-PBE Co2NiGeH, optimized geometry; M_tot = 1.0 Bohr magnetons per cell; electronic total energy = -5.7543 eV/atom
1.0
-2.375 -2.201 1.652
1.313 -2.824 -1.874
2.371 -0.616 2.589
Co H Ni Ge
2 1 1 1
Direct
0.500 0.000 0.000 Co
0.000 0.500 0.000 Co
0.000 0.000 0.000 H
0.000 0.000 0.500 Ni
0.500 0.500 0.500 Ge